VASP calculation (PBE-GGA) on a geometry-optimized Tb12Y5Ho structure.

**Calculated formation energy**: 18 meV/atom
**Crystal system**: monoclinic
**SG**: P2/m

a b c (Å): 10.6762 5.0371 10.6892
angles (deg): 90.00 90.14 90.00
Fractional coordinates of all 18 atoms:
1 Tb 0.0007 0.0000 0.3334
2 Tb 0.1658 0.5000 0.4993
3 Tb 0.1667 0.5000 0.1667
4 Tb 0.3334 0.0000 0.0007
5 Tb 0.3326 0.0000 0.3326
6 Tb 0.4993 0.5000 0.1658
7 Tb 0.5007 0.5000 0.8342
8 Tb 0.6674 0.0000 0.6674
9 Tb 0.6666 0.0000 0.9993
10 Tb 0.8333 0.5000 0.8333
11 Tb 0.8342 0.5000 0.5007
12 Tb 0.9993 0.0000 0.6666
13 Y 0.1662 0.5000 0.8338
14 Y 0.3334 0.0000 0.6666
15 Y 0.5000 0.5000 0.5000
16 Y 0.6666 0.0000 0.3334
17 Y 0.8338 0.5000 0.1662
18 Ho 0.0000 0.0000 0.0000